No. 1
InCo2Ag | PBE | relaxed

a b c (Å): 4.0960 2.8964 5.3854
angles (deg): 74.67 90.00 90.00
Site moments in Bohr magnetons follow the coordinates.
Fractional positions:
Ag 0.5000 0.7924 0.7832  0.00
Co 0.0000 0.1746 0.0170  1.57
Co 0.5000 0.0772 0.2306  1.54
In 0.0000 0.4558 0.4692  -0.05

Results
Space group: Pm
Size of the total moment (μB/f.u.): 3.00
Uncorrected energy (eV per cell): -18.594
Formation enthalpy at 0 K (kJ/mol of atoms): 29.1
Calculated volume (A^3/atom): 15.404

=====

No. 2
In2CoAg | PBE | relaxed

a b c (Å): 4.8108 4.8108 5.4263
angles (deg): 76.20 76.20 38.08
Site moments in Bohr magnetons follow the coordinates.
Fractional positions:
Ag 0.7500 0.7500 0.7500  0.00
Co 0.2500 0.2500 0.2500  1.12
In 0.9855 0.9855 0.0207  -0.02
In 0.5145 0.5145 0.4794  -0.02

Results
Space group: C2/m
Size of the total moment (μB/f.u.): 1.04
Uncorrected energy (eV per cell): -14.406
Formation enthalpy at 0 K (kJ/mol of atoms): 24.8
Calculated volume (A^3/atom): 18.737
Distance to the lowest polymorph of the same formula (eV per formula unit): 0.655

=====

No. 3
In4CoAg | PBE | relaxed

a b c (Å): 5.8622 5.8622 5.8622
angles (deg): 60.00 60.00 60.00
Site moments in Bohr magnetons follow the coordinates.
Fractional positions:
In 0.8754 0.3749 0.3749  -0.01
In 0.3749 0.3749 0.8754  -0.01
In 0.3749 0.8754 0.3749  -0.01
In 0.3749 0.3749 0.3749  -0.01
Co 0.0000 0.0000 0.0000  1.79
Ag 0.7500 0.7500 0.7500  -0.02

Results
Space group: F-43m
Size of the total moment (μB/f.u.): 1.54
Uncorrected energy (eV per cell): -17.029
Formation enthalpy at 0 K (kJ/mol of atoms): 62.4
Calculated volume (A^3/atom): 23.742

=====

No. 4
In2CoAg | PBE | relaxed

a b c (Å): 5.3139 5.3139 5.3139
angles (deg): 135.95 135.95 64.07
Fractional positions:
Ag 0.5000 0.5000 0.0000
Co 0.7500 0.2500 0.5000
In 0.0000 0.0000 0.0000
In 0.2500 0.7500 0.5000

Results
Space group: I-4m2
Size of the total moment (μB/f.u.): 0.00
Uncorrected energy (eV per cell): -14.574
Formation enthalpy at 0 K (kJ/mol of atoms): 20.7
Calculated volume (A^3/atom): 17.893
Distance to the lowest polymorph of the same formula (eV per formula unit): 0.487

=====

No. 5
InCo2Ag | PBE | relaxed

a b c (Å): 2.9654 2.9649 7.0114
angles (deg): 90.00 90.00 90.00
Site moments in Bohr magnetons follow the coordinates.
Fractional positions:
Ag 0.5000 0.5000 0.7829  0.00
Co 0.0000 0.0000 0.0411  1.81
Co 0.5000 0.5000 0.2074  1.60
In 0.0000 0.0000 0.4686  0.00

Results
Space group: P4mm
Size of the total moment (μB/f.u.): 3.39
Uncorrected energy (eV per cell): -18.994
Formation enthalpy at 0 K (kJ/mol of atoms): 19.5
Calculated volume (A^3/atom): 15.411

=====

No. 6
InCo2Ag | PBE | relaxed

a b c (Å): 5.1882 5.1882 4.4738
angles (deg): 64.00 64.00 35.03
Site moments in Bohr magnetons follow the coordinates.
Fractional positions:
Ag 0.2641 0.2641 0.2367  0.00
Co 0.0256 0.0256 0.9734  1.59
Co 0.7230 0.7230 0.7778  1.73
In 0.4873 0.4873 0.5121  -0.02

Results
Space group: Cm
Size of the total moment (μB/f.u.): 3.26
Uncorrected energy (eV per cell): -18.718
Formation enthalpy at 0 K (kJ/mol of atoms): 26.1
Calculated volume (A^3/atom): 15.347

=====

Question: What is the uncorrected energy in the first record?
Answer: -18.594 eV per cell

=====

Question: What is the formula in the sixth record?
Answer: InCo2Ag